# 1
The following is a DFT calculation (meta-GGA SCAN) of a crystal of Zr2FeP relaxed with PBEsol.

```
4
Lattice="3.5775 0.0000 0.0000 0.0000 3.6951 0.0000 -1.7888 0.0000 4.8551" Properties=species:S:1:pos:R:3 pbc="T T T"
P 1.7888 1.8475 1.7569
Fe 1.7888 0.0000 3.2056
Zr 0.0000 0.0000 1.0510
Zr 0.0000 1.8475 3.8250
```

Values from the calculation:
volume: 16.05 Å³/atom
theoretical density: 6.967 g/cm3
ΔH_f (0 K): -874 meV/atom

# 2
The following is a DFT calculation (meta-GGA SCAN) of a crystal of Cd2CuRe relaxed with PBEsol.

```
4
Lattice="2.7723 0.0000 0.0000 0.0000 4.8313 0.0000 -1.3861 -2.4157 4.8505" Properties=species:S:1:pos:R:3 pbc="T T T"
Cd 1.3861 2.4157 4.7998
Cd 1.3861 0.0000 2.5841
Cu 1.3861 2.4157 0.0849
Re 0.0000 2.4157 2.2322
```

Values from the calculation:
volume: 16.24 Å³/atom
theoretical density: 12.130 g/cm3
ΔH_f (0 K): 529 meV/atom
energy above the most stable polymorph in this dataset: 69 meV/atom

# 3
The following is a DFT calculation (meta-GGA SCAN) of a crystal of TiGeW2Br relaxed with PBEsol.

```
5
Lattice="-1.9626 -1.7203 3.9056 1.8769 -4.2087 -0.9106 3.8497 1.1853 2.4567" Properties=species:S:1:pos:R:3 pbc="T T T"
Ge 1.9249 0.5927 1.2283
Br 1.8820 -2.3718 2.7258
W 0.9385 -2.1043 -0.4553
W -0.9813 -0.8601 1.9528
Ti 0.0000 0.0000 0.0000
```

Values from the calculation:
volume: 20.82 Å³/atom
energy relative to the elements, uncorrected: 9.65 eV/f.u.
theoretical density: 9.061 g/cm3

# 4
The following is a DFT calculation (meta-GGA SCAN) of a crystal of Nd2CdSb4 relaxed with PBEsol.

```
7
Lattice="-3.7486 1.8187 1.1317 -1.7708 -1.3478 -3.6997 -2.9458 -8.9862 4.6838" Properties=species:S:1:pos:R:3 pbc="T T T"
Sb -2.8374 -2.0286 2.0972
Sb -2.8681 -6.7222 1.3026
Sb -2.7597 0.2354 -1.2840
Sb 0.0000 0.0000 0.0000
Nd -4.1208 -5.9438 4.1378
Nd -1.5847 -2.8070 -0.7380
Cd -4.2326 -4.2577 1.0579
```

Values from the calculation:
volume: 28.10 Å³/atom
energy relative to the elements, uncorrected: -5.63 eV/f.u.
theoretical density: 7.495 g/cm3

# 5
The following is a DFT calculation (meta-GGA SCAN) of a crystal of TiNi3 relaxed with PBEsol.

```
8
Lattice="4.1052 0.0000 0.0000 0.0000 5.0311 0.0000 0.0000 -2.5156 4.3571" Properties=species:S:1:pos:R:3 pbc="T T T"
Ni 3.0789 1.2229 0.7061
Ni 3.0789 2.5156 2.9449
Ni 3.0789 3.8082 0.7061
Ni 1.0263 1.2926 3.6510
Ni 1.0263 0.0000 1.4121
Ni 1.0263 -1.2926 3.6510
Ti 1.0263 2.5156 1.4524
Ti 3.0789 0.0000 2.9047
```

Values from the calculation:
volume: 11.25 Å³/atom
theoretical density: 8.265 g/cm3
ΔH_f (0 K): -474 meV/atom

# 6
The following is a DFT calculation (meta-GGA SCAN) of a crystal of CaTl2Pb relaxed with PBEsol.

```
4
Lattice="3.6335 0.0000 0.0000 -0.2000 5.7697 0.0000 -1.7167 -2.8848 5.9172" Properties=species:S:1:pos:R:3 pbc="T T T"
Pb -0.1000 2.8848 0.0000
Tl -0.8584 -1.4424 2.9586
Tl 0.8584 1.4424 2.9586
Ca 1.8167 0.0000 0.0000
```

Values from the calculation:
volume: 31.01 Å³/atom
theoretical density: 8.782 g/cm3
ΔH_f (0 K): -274 meV/atom

# 7
The following is a DFT calculation (meta-GGA SCAN) of a crystal of KIr3Pb relaxed with PBEsol.

```
5
Lattice="5.0376 0.0000 0.0000 0.0000 5.0376 0.0000 0.0000 0.0000 5.0376" Properties=species:S:1:pos:R:3 pbc="T T T"
Pb 0.0000 0.0000 0.0000
K 2.5188 2.5188 2.5188
Ir 0.0000 2.5188 0.0000
Ir 0.0000 0.0000 2.5188
Ir 2.5188 0.0000 0.0000
```

Values from the calculation:
volume: 25.57 Å³/atom
theoretical density: 10.689 g/cm3
ΔH_f (0 K): 1979 meV/atom

# 8
The following is a DFT calculation (meta-GGA SCAN) of a crystal of NdIr5 relaxed with PBEsol.

```
6
Lattice="4.2920 0.0000 0.0000 0.0000 5.2817 0.0000 0.0000 -2.6409 4.5741" Properties=species:S:1:pos:R:3 pbc="T T T"
Ir 2.1460 1.3204 2.2871
Ir 0.0000 2.6409 1.5247
Ir 2.1460 2.6409 0.0000
Ir 0.0000 0.0000 3.0494
Ir 2.1460 -1.3204 2.2871
Nd 0.0000 0.0000 0.0000
```

Values from the calculation:
volume: 17.28 Å³/atom
theoretical density: 17.701 g/cm3
ΔH_f (0 K): -327 meV/atom

# 9
The following is a DFT calculation (meta-GGA SCAN) of a crystal of Rb2ReNiSe relaxed with PBEsol.

```
5
Lattice="4.5873 0.0000 0.0000 0.0000 6.7084 0.0000 0.0000 0.0000 6.7084" Properties=species:S:1:pos:R:3 pbc="T T T"
Re 0.0000 0.0000 0.0000
Se 2.2937 0.0000 0.0000
Rb 0.0000 0.0000 3.3542
Rb 0.0000 3.3542 0.0000
Ni 2.2937 3.3542 3.3542
```

Values from the calculation:
volume: 41.29 Å³/atom
energy relative to the elements, uncorrected: 4.99 eV/f.u.
theoretical density: 3.980 g/cm3

# 10
The following is a DFT calculation (meta-GGA SCAN) of a crystal of Ni2Ag2Ru relaxed with PBEsol.

```
5
Lattice="3.5786 0.0000 0.0000 0.0000 3.5786 0.0000 -1.7893 -1.7893 5.8310" Properties=species:S:1:pos:R:3 pbc="T T T"
Ru 0.0000 0.0000 0.0000
Ag 0.0000 1.7893 2.9155
Ag 1.7893 0.0000 2.9155
Ni 0.0000 0.0000 4.7484
Ni 1.7893 1.7893 1.0826
```

Values from the calculation:
volume: 14.93 Å³/atom
theoretical density: 9.655 g/cm3
ΔH_f (0 K): 797 meV/atom

# 11
The following is a DFT calculation (meta-GGA SCAN) of a crystal of CsCuH2 relaxed with PBEsol.

```
8
Lattice="-3.7295 4.0470 0.9884 -4.8038 0.1337 -2.8582 -4.8171 -1.2044 2.5707" Properties=species:S:1:pos:R:3 pbc="T T T"
Cs -10.0128 2.2323 0.5256
Cs -6.6752 1.4882 0.3504
H -4.0774 -0.2302 1.3730
H -1.6688 0.3720 0.0876
H -3.5335 2.3955 0.5818
H -4.0707 0.4389 -1.3415
Cu -3.3376 0.7441 0.1752
Cu 0.0000 0.0000 0.0000
```

Values from the calculation:
volume: 15.45 Å³/atom
calculated total energy: -0.5548 Ha/atom
theoretical density: 5.332 g/cm3

# 12
The following is a DFT calculation (meta-GGA SCAN) of a crystal of Rb2Au2S relaxed with PBEsol.

```
5
Lattice="-1.7756 -0.1390 -3.3509 -0.0393 -3.7905 0.1781 -7.8132 2.2718 6.1945" Properties=species:S:1:pos:R:3 pbc="T T T"
S 0.0000 0.0000 0.0000
Au -4.3800 -1.7417 2.3931
Au -5.2481 0.0840 0.6286
Rb -7.0835 0.2494 3.7430
Rb -2.5446 -1.9071 -0.7213
```

Values from the calculation:
volume: 28.42 Å³/atom
energy relative to the elements, uncorrected: -2.78 eV/f.u.
theoretical density: 6.975 g/cm3

# 13
The following is a DFT calculation (meta-GGA SCAN) of a crystal of Sc2InIr relaxed with PBEsol.

```
4
Lattice="3.1295 0.0000 0.0000 0.0000 3.1294 0.0000 0.0000 0.0000 7.7627" Properties=species:S:1:pos:R:3 pbc="T T T"
Sc 0.0000 0.0000 1.6486
Sc 0.0000 0.0000 6.1141
Ir 1.5648 1.5647 0.0000
In 1.5648 1.5647 3.8814
```

Values from the calculation:
volume: 19.01 Å³/atom
theoretical density: 8.670 g/cm3
ΔH_f (0 K): -937 meV/atom

# 14
The following is a DFT calculation (meta-GGA SCAN) of a crystal of BaAu2 relaxed with PBEsol.

```
3
Lattice="-1.9710 2.5592 2.6367 -3.1669 1.0716 -3.4074 -0.8145 -3.6649 2.9484" Properties=species:S:1:pos:R:3 pbc="T T T"
Au -2.5842 -0.8065 2.1481
Au -3.3683 0.7724 0.0295
Ba 0.0000 0.0000 0.0000
```

Values from the calculation:
volume: 27.43 Å³/atom
theoretical density: 10.721 g/cm3
ΔH_f (0 K): -883 meV/atom

# 15
The following is a DFT calculation (meta-GGA SCAN) of a crystal of BaNb2ReW relaxed with PBEsol.

```
5
Lattice="4.8842 0.0000 0.0000 0.0000 4.9742 0.0000 0.0000 0.0000 4.9742" Properties=species:S:1:pos:R:3 pbc="T T T"
Re 2.4421 0.0000 0.0000
Nb 0.0000 0.0000 2.4871
Nb 0.0000 2.4871 0.0000
Ba 2.4421 2.4871 2.4871
W 0.0000 0.0000 0.0000
```

Values from the calculation:
volume: 24.17 Å³/atom
theoretical density: 9.525 g/cm3
ΔH_f (0 K): 1288 meV/atom

# 16
The following is a DFT calculation (meta-GGA SCAN) of a crystal of LiMgAg2 relaxed with PBEsol.

```
4
Lattice="-0.1300 2.5014 1.5629 1.3881 -1.9520 3.2396 5.3222 1.2361 -1.5357" Properties=species:S:1:pos:R:3 pbc="T T T"
Mg 4.6917 1.2182 1.2290
Ag 5.3120 1.2337 -1.5328
Ag 2.0331 0.6008 1.9961
Li 2.5269 0.5869 -0.7291
```

Values from the calculation:
volume: 16.88 Å³/atom
theoretical density: 6.075 g/cm3
ΔH_f (0 K): -181 meV/atom

# 17
The following is a DFT calculation (meta-GGA SCAN) of a crystal of BaLa2H relaxed with PBEsol.

```
8
Lattice="7.0788 0.0521 0.0781 -3.1100 6.3593 -0.0781 -3.1100 -2.5089 5.8439" Properties=species:S:1:pos:R:3 pbc="T T T"
H 0.4294 -0.2658 4.4025
H -3.1100 1.9252 2.8829
Ba 0.4294 4.1683 1.4415
Ba 0.0000 0.0000 0.0000
La 4.0658 2.6137 0.7598
La -1.6520 0.3262 3.6427
La -2.5836 3.8164 4.0688
La 1.8874 1.0487 3.2166
```

Values from the calculation:
volume: 33.10 Å³/atom
calculated total energy: -1.1908 Ha/atom
theoretical density: 5.219 g/cm3

# 18
The following is a DFT calculation (meta-GGA SCAN) of a crystal of Mg2InSb relaxed with PBEsol.

```
4
Lattice="-0.3129 -0.6767 -3.8870 -2.8697 -2.6369 0.6901 -4.1512 4.4045 -0.4327" Properties=species:S:1:pos:R:3 pbc="T T T"
Sb -1.9769 2.0975 -0.2061
Mg -4.0899 4.3394 -0.4263
Mg -2.7189 -0.4604 -1.7160
In -4.7749 1.7210 -1.9303
```

Values from the calculation:
volume: 23.76 Å³/atom
energy relative to the elements, uncorrected: -0.41 eV/f.u.
theoretical density: 4.982 g/cm3
energy above the most stable polymorph in this dataset: 81 meV/atom

# 19
The following is a DFT calculation (meta-GGA SCAN) of a crystal of TcPbSe2 relaxed with PBEsol.

```
4
Lattice="4.7621 0.0000 0.0000 2.3811 4.1241 0.0000 2.3811 1.3747 3.8883" Properties=species:S:1:pos:R:3 pbc="T T T"
Pb 4.7621 2.7494 1.9441
Se 0.0000 0.0000 0.0000
Se 7.1432 4.1241 2.9162
Tc 2.3811 1.3747 0.9721
```

Values from the calculation:
volume: 19.09 Å³/atom
energy relative to the elements, uncorrected: 3.43 eV/f.u.
theoretical density: 10.070 g/cm3
energy above the most stable polymorph in this dataset: 881 meV/atom

# 20
The following is a DFT calculation (meta-GGA SCAN) of a crystal of ScAsSe2 relaxed with PBEsol.

```
4
Lattice="3.4278 0.0000 0.0000 0.0000 4.7056 0.0000 0.0000 0.0000 4.7056" Properties=species:S:1:pos:R:3 pbc="T T T"
As 1.7139 2.3528 2.3528
Sc 1.7139 0.0000 0.0000
Se 0.0000 0.0000 2.3528
Se 0.0000 2.3528 0.0000
```

Values from the calculation:
volume: 18.98 Å³/atom
energy relative to the elements, uncorrected: -2.31 eV/f.u.
theoretical density: 6.078 g/cm3